Material: Mg5CdBi
Method: DFT, GGA-PBE
State: optimized geometry

Properties
DFT formation energy, eV/f.u.: 0.1
Uncorrected energy, eV per atom: -1.812

Lattice parameters (Å, degrees): 7.5478 7.5478 10.5947 121.05 121.05 44.23
Last column: nearest neighbours and their distance in Å.
Element x y z (fractional)
Mg 0.0102 0.9898 0.7500  2 Cd 2.82-2.87, 4 Mg 3.06-3.11
Mg 0.0312 0.5512 0.8633  4 Mg 3.07-3.39, 2 Bi 3.33-3.43
Mg 0.1984 0.6910 0.4533  2 Cd 2.97-3.16, 1 Bi 3.03, 6 Mg 3.06-3.16
Mg 0.3090 0.8016 0.0467  2 Cd 2.97-3.16, 1 Bi 3.03, 6 Mg 3.06-3.16
Mg 0.4488 0.9688 0.6367  4 Mg 3.07-3.39, 2 Bi 3.33-3.43
Mg 0.5512 0.0312 0.3633  4 Mg 3.07-3.39, 2 Bi 3.33-3.43
Mg 0.6910 0.1984 0.9533  2 Cd 2.97-3.16, 1 Bi 3.03, 6 Mg 3.06-3.16
Mg 0.8016 0.3090 0.5467  2 Cd 2.97-3.16, 1 Bi 3.03, 6 Mg 3.06-3.16
Mg 0.9688 0.4488 0.1367  4 Mg 3.07-3.39, 2 Bi 3.33-3.43
Mg 0.9898 0.0102 0.2500  2 Cd 2.82-2.87, 4 Mg 3.06-3.11
Cd 0.4854 0.5146 0.2500  4 Mg 2.82-2.97
Cd 0.5146 0.4854 0.7500  4 Mg 2.82-2.97
Bi 0.0000 0.5000 0.5000  6 Mg 3.03-3.33, 2 Cd 3.35
Bi 0.5000 0.0000 0.0000  6 Mg 3.03-3.33, 2 Cd 3.35

***

Material: Mg2Cd5Bi
Method: DFT, GGA-PBE
State: optimized geometry

Properties
DFT formation energy, eV/f.u.: -0.3
Uncorrected energy, eV per atom: -1.498

Lattice parameters (Å, degrees): 6.3355 12.9052 4.6188 90.00 90.00 90.00
Last column: nearest neighbours and their distance in Å.
Element x y z (fractional)
Mg 0.2435 0.1280 0.0000  10 Cd 3.10-3.36, 2 Bi 3.23
Mg 0.2565 0.6280 0.0000  10 Cd 3.10-3.36, 2 Bi 3.23
Mg 0.7435 0.3720 0.0000  10 Cd 3.10-3.36, 2 Bi 3.23
Mg 0.7565 0.8720 0.0000  10 Cd 3.10-3.36, 2 Bi 3.23
Cd 0.0000 0.5000 0.5000  6 Cd 3.14-3.23, 2 Bi 3.17, 4 Mg 3.27
Cd 0.0135 0.7435 0.5000  7 Cd 3.14-3.24, 4 Mg 3.15-3.28, 1 Bi 3.31
Cd 0.2327 0.3681 0.0000  4 Mg 3.10-3.36, 6 Cd 3.14-3.24, 2 Bi 3.33
Cd 0.2673 0.8681 0.0000  4 Mg 3.10-3.36, 6 Cd 3.14-3.24, 2 Bi 3.33
Cd 0.4865 0.2435 0.5000  7 Cd 3.14-3.24, 4 Mg 3.15-3.28, 1 Bi 3.31
Cd 0.5000 0.0000 0.5000  6 Cd 3.14-3.23, 2 Bi 3.17, 4 Mg 3.27
Cd 0.5135 0.7565 0.5000  7 Cd 3.14-3.24, 4 Mg 3.15-3.28, 1 Bi 3.31
Cd 0.7327 0.1319 0.0000  4 Mg 3.10-3.36, 6 Cd 3.14-3.24, 2 Bi 3.33
Cd 0.7673 0.6319 0.0000  4 Mg 3.10-3.36, 6 Cd 3.14-3.24, 2 Bi 3.33
Cd 0.9865 0.2565 0.5000  7 Cd 3.14-3.24, 4 Mg 3.15-3.28, 1 Bi 3.31
Bi 0.0000 0.0000 0.5000  8 Cd 3.17-3.33, 4 Mg 3.23
Bi 0.5000 0.5000 0.5000  8 Cd 3.17-3.33, 4 Mg 3.23

***

Material: MgCd2Bi
Method: DFT, GGA-PBE
State: optimized geometry

Properties
DFT formation energy, eV/f.u.: 0.0
Uncorrected energy, eV per atom: -1.825

Lattice parameters (Å, degrees): 11.4988 11.4988 11.4988 158.00 158.00 31.31
Last column: nearest neighbours and their distance in Å.
Element x y z (fractional)
Mg 0.0000 0.0000 0.0000  4 Bi 3.10, 4 Cd 3.15
Mg 0.7500 0.2500 0.5000  4 Bi 3.10, 4 Cd 3.15
Cd 0.1080 0.6250 0.9830  4 Cd 3.00-3.21, 2 Mg 3.15, 2 Bi 3.20
Cd 0.3750 0.3580 0.4830  4 Cd 3.00-3.21, 2 Mg 3.15, 2 Bi 3.20
Cd 0.6420 0.1250 0.0170  4 Cd 3.00-3.21, 2 Mg 3.15, 2 Bi 3.20
Cd 0.8750 0.8920 0.5170  4 Cd 3.00-3.21, 2 Mg 3.15, 2 Bi 3.20
Bi 0.2500 0.7500 0.5000  4 Mg 3.10, 4 Cd 3.20
Bi 0.5000 0.5000 0.0000  4 Mg 3.10, 4 Cd 3.20

***

Material: Mg4Cd3Bi
Method: DFT, GGA-PBE
State: optimized geometry

Properties
DFT formation energy, eV/f.u.: -0.7
Uncorrected energy, eV per atom: -1.711

Lattice parameters (Å, degrees): 9.9442 7.3128 5.1166 90.00 90.00 90.00
Last column: nearest neighbours and their distance in Å.
Element x y z (fractional)
Mg 0.0000 0.2290 0.0000  6 Cd 3.03-3.19, 2 Bi 3.24, 3 Mg 3.25-3.35
Mg 0.0000 0.7710 0.0000  6 Cd 3.03-3.19, 2 Bi 3.24, 3 Mg 3.25-3.35
Mg 0.2500 0.2282 0.4097  6 Cd 3.03-3.36, 2 Bi 3.22, 3 Mg 3.25-3.34
Mg 0.2500 0.7718 0.4097  6 Cd 3.03-3.36, 2 Bi 3.22, 3 Mg 3.25-3.34
Mg 0.5000 0.2290 0.0000  6 Cd 3.03-3.19, 2 Bi 3.24, 3 Mg 3.25-3.35
Mg 0.5000 0.7710 0.0000  6 Cd 3.03-3.19, 2 Bi 3.24, 3 Mg 3.25-3.35
Mg 0.7500 0.2282 0.5903  6 Cd 3.03-3.36, 2 Bi 3.22, 3 Mg 3.25-3.34
Mg 0.7500 0.7718 0.5903  6 Cd 3.03-3.36, 2 Bi 3.22, 3 Mg 3.25-3.34
Cd 0.0000 0.0000 0.5000  8 Mg 3.03-3.06, 2 Cd 3.25
Cd 0.2500 0.0000 0.9082  8 Mg 3.03-3.06, 2 Cd 3.25
Cd 0.2500 0.5000 0.9403  8 Mg 3.12-3.36, 2 Bi 3.35
Cd 0.5000 0.0000 0.5000  8 Mg 3.03-3.06, 2 Cd 3.25
Cd 0.7500 0.0000 0.0918  8 Mg 3.03-3.06, 2 Cd 3.25
Cd 0.7500 0.5000 0.0597  8 Mg 3.12-3.36, 2 Bi 3.35
Bi 0.0000 0.5000 0.5000  8 Mg 3.22-3.24, 2 Cd 3.35
Bi 0.5000 0.5000 0.5000  8 Mg 3.22-3.24, 2 Cd 3.35

***

Material: Mg5Cd2Bi4
Method: DFT, GGA-PBE
State: optimized geometry

Properties
DFT formation energy, eV/f.u.: -0.2
Uncorrected energy, eV per atom: -2.323

Lattice parameters (Å, degrees): 9.7035 9.7035 9.0320 92.15 92.15 20.52
Last column: nearest neighbours and their distance in Å.
Element x y z (fractional)
Mg 0.0000 0.0000 0.0000  8 Bi 3.22-3.38, 2 Mg 3.46
Mg 0.2691 0.2691 0.8069  4 Bi 3.11-3.15, 5 Mg 3.28-3.46
Mg 0.3145 0.3145 0.4602  2 Cd 3.02, 5 Mg 3.11-3.33, 2 Bi 3.23-3.33
Mg 0.6855 0.6855 0.5398  2 Cd 3.02, 5 Mg 3.11-3.33, 2 Bi 3.23-3.33
Mg 0.7309 0.7309 0.1931  4 Bi 3.11-3.15, 5 Mg 3.28-3.46
Cd 0.0612 0.0612 0.6088  1 Cd 3.00, 2 Mg 3.02, 2 Bi 3.32
Cd 0.9388 0.9388 0.3912  1 Cd 3.00, 2 Mg 3.02, 2 Bi 3.32
Bi 0.3585 0.3585 0.1072  6 Mg 3.11-3.38, 2 Cd 3.41, 2 Bi 3.46
Bi 0.4275 0.4275 0.7356  4 Mg 3.12-3.23, 2 Cd 3.32, 2 Bi 3.46
Bi 0.5725 0.5725 0.2644  4 Mg 3.12-3.23, 2 Cd 3.32, 2 Bi 3.46
Bi 0.6415 0.6415 0.8928  6 Mg 3.11-3.38, 2 Cd 3.41, 2 Bi 3.46

***

Material: Mg2Cd2Bi
Method: DFT, GGA-PBE
State: optimized geometry

Properties
Energy above the most stable polymorph in this dataset, meV/atom: 85.8
DFT formation energy, eV/f.u.: 0.2
Uncorrected energy, eV per atom: -1.732

Lattice parameters (Å, degrees): 7.3660 7.3660 7.3660 145.55 145.55 49.51
Last column: nearest neighbours and their distance in Å.
Element x y z (fractional)
Mg 0.2500 0.7500 0.5000  4 Cd 2.93, 4 Mg 3.08
Mg 0.7500 0.2500 0.5000  4 Cd 2.93, 4 Mg 3.08
Cd 0.1040 0.1040 0.0000  1 Cd 2.78, 4 Mg 2.93
Cd 0.8960 0.8960 0.0000  1 Cd 2.78, 4 Mg 2.93
Bi 0.5000 0.5000 0.0000  8 Cd 3.38

***

Material: MgCd14Bi
Method: DFT, GGA-PBE
State: optimized geometry

Properties
DFT formation energy, eV/f.u.: 0.3
Uncorrected energy, eV per atom: -1.124

Lattice parameters (Å, degrees): 10.3814 6.2853 6.2853 67.69 90.00 90.00
Last column: nearest neighbours and their distance in Å.
Element x y z (fractional)
Mg 0.0000 0.0000 0.0000  10 Cd 3.13-3.23
Cd 0.0000 0.5137 0.9561  5 Cd 3.06-3.16, 2 Bi 3.06-3.25, 2 Mg 3.13-3.17
Cd 0.0000 0.9561 0.5137  5 Cd 3.06-3.16, 2 Bi 3.06-3.25, 2 Mg 3.13-3.17
Cd 0.2478 0.8297 0.8297  1 Mg 3.13, 9 Cd 3.13-3.20
Cd 0.2547 0.3183 0.8667  9 Cd 3.06-3.27, 1 Mg 3.23
Cd 0.2547 0.8667 0.3183  9 Cd 3.06-3.27, 1 Mg 3.23
Cd 0.2780 0.3561 0.3561  7 Cd 2.94-3.18, 1 Bi 3.09
Cd 0.5000 0.1471 0.7012  11 Cd 3.09-3.20
Cd 0.5000 0.1814 0.1814  10 Cd 2.94-3.19
Cd 0.5000 0.6607 0.6607  12 Cd 3.14-3.51
Cd 0.5000 0.7012 0.1471  11 Cd 3.09-3.20
Cd 0.7220 0.3561 0.3561  7 Cd 2.94-3.18, 1 Bi 3.09
Cd 0.7453 0.3183 0.8667  9 Cd 3.06-3.27, 1 Mg 3.23
Cd 0.7453 0.8667 0.3183  9 Cd 3.06-3.27, 1 Mg 3.23
Cd 0.7522 0.8297 0.8297  1 Mg 3.13, 9 Cd 3.13-3.20
Bi 0.0000 0.4609 0.4609  6 Cd 3.06-3.25

***

Material: MgCd2Bi
Method: DFT, GGA-PBE
State: optimized geometry

Properties
DFT formation energy, eV/f.u.: -0.1
Uncorrected energy, eV per atom: -1.855

Lattice parameters (Å, degrees): 4.4084 4.4084 5.1506 90.00 90.00 90.00
Last column: nearest neighbours and their distance in Å.
Element x y z (fractional)
Mg 0.0000 0.0000 0.0000  4 Bi 3.12, 8 Cd 3.39
Cd 0.0000 0.5000 0.5000  4 Cd 3.12, 4 Bi 3.39, 4 Mg 3.39
Cd 0.5000 0.0000 0.5000  4 Cd 3.12, 4 Bi 3.39, 4 Mg 3.39
Bi 0.5000 0.5000 0.0000  4 Mg 3.12, 8 Cd 3.39

***

Material: MgCd2Bi
Method: DFT, GGA-PBE
State: optimized geometry

Properties
DFT formation energy, eV/f.u.: 0.6
Uncorrected energy, eV per atom: -1.681

Lattice parameters (Å, degrees): 11.6503 11.6503 11.6503 16.48 16.48 16.48
Last column: nearest neighbours and their distance in Å.
Element x y z (fractional)
Mg 0.0000 0.0000 0.0000  2 Cd 2.89
Cd 0.0839 0.0839 0.0839  1 Mg 2.89
Cd 0.9161 0.9161 0.9161  1 Mg 2.89
Bi 0.5000 0.5000 0.5000  6 Bi 3.34, 6 Cd 3.44

***

Material: Mg2Cd2Bi
Method: DFT, GGA-PBE
State: optimized geometry

Properties
Energy above the most stable polymorph in this dataset, meV/atom: 29.9
DFT formation energy, eV/f.u.: 0.0
Uncorrected energy, eV per atom: -1.788

Lattice parameters (Å, degrees): 8.4548 8.4548 3.4562 90.00 90.00 90.00
Last column: nearest neighbours and their distance in Å.
Element x y z (fractional)
Mg 0.1387 0.3613 0.0000  6 Cd 2.98-3.05, 2 Bi 3.27, 1 Mg 3.32
Mg 0.3613 0.8613 0.0000  6 Cd 2.98-3.05, 2 Bi 3.27, 1 Mg 3.32
Mg 0.6387 0.1387 0.0000  6 Cd 2.98-3.05, 2 Bi 3.27, 1 Mg 3.32
Mg 0.8613 0.6387 0.0000  6 Cd 2.98-3.05, 2 Bi 3.27, 1 Mg 3.32
Cd 0.1580 0.6580 0.5000  6 Mg 2.98-3.05
Cd 0.3420 0.1580 0.5000  6 Mg 2.98-3.05
Cd 0.6580 0.8420 0.5000  6 Mg 2.98-3.05
Cd 0.8420 0.3420 0.5000  6 Mg 2.98-3.05
Bi 0.0000 0.0000 0.0000  4 Mg 3.27, 2 Bi 3.46, 8 Cd 3.62
Bi 0.5000 0.5000 0.0000  4 Mg 3.27, 2 Bi 3.46, 8 Cd 3.62